Material: NdBe3Ru
Method: DFT, PBE-GGA
State: optimized geometry

Cell lengths 4.307, 4.307, 4.307 Å; angles 90.00, 90.00, 90.00 degrees
Element x y z (fractional)
Nd 0.000 0.000 0.000
Be 0.000 0.500 0.500
Be 0.500 0.000 0.500
Be 0.500 0.500 0.000
Ru 0.500 0.500 0.500

N(E_F): 3.3 states/eV/cell
total magnetic moment: 0.0 μB per formula unit
formation energy: -102 meV per atom

Material: NdBeRu
Method: DFT, PBE-GGA
State: optimized geometry

Cell lengths 3.992, 3.992, 4.084 Å; angles 90.00, 90.00, 120.00 degrees
Element x y z (fractional)
Nd 0.000 0.000 0.000
Be 0.667 0.333 0.500
Ru 0.333 0.667 0.500

N(E_F): 2.2 states/eV/cell
total magnetic moment: 0.0 μB per formula unit
distance to the lowest polymorph of the same formula: 0.000 eV/atom
formation energy: -154 meV per atom

Material: NdBe2Ru
Method: DFT, PBE-GGA
State: optimized geometry

Cell lengths 5.499, 5.499, 5.499 Å; angles 41.68, 41.68, 41.68 degrees
Element x y z (fractional)
Nd 0.000 0.000 0.000
Be 0.192 0.192 0.192
Be 0.808 0.808 0.808
Ru 0.500 0.500 0.500

N(E_F): 3.4 states/eV/cell
total magnetic moment: 0.0 μB per formula unit
formation energy: -185 meV per atom

Material: NdBeRu
Method: DFT, PBE-GGA
State: optimized geometry

Cell lengths 5.056, 5.056, 5.056 Å; angles 45.13, 45.13, 45.13 degrees
Element x y z (fractional)
Nd 0.000 0.000 0.000
Be 0.798 0.798 0.798
Ru 0.486 0.486 0.486

N(E_F): 1.6 states/eV/cell
total magnetic moment: 0.0 μB per formula unit
distance to the lowest polymorph of the same formula: 0.193 eV/atom
formation energy: 39 meV per atom

Material: Nd2Be4Si3Ru
Method: DFT, PBE-GGA
State: optimized geometry

Cell lengths 3.893, 3.893, 10.018 Å; angles 90.00, 90.00, 90.00 degrees
Element x y z (fractional)
Nd 0.000 0.500 0.244
Nd 0.500 0.000 0.756
Be 0.000 0.000 0.000
Be 0.000 0.500 0.630
Be 0.500 0.000 0.370
Be 0.500 0.500 0.000
Si 0.000 0.500 0.871
Si 0.500 0.000 0.129
Si 0.500 0.500 0.500
Ru 0.000 0.000 0.500

N(E_F): 4.0 states/eV/cell
VASP energy: -54.10 eV per formula unit
total magnetic moment: 0.0 μB per formula unit

Material: NdBeSi2Ru2
Method: DFT, PBE-GGA
State: optimized geometry

Cell lengths 4.230, 4.230, 5.346 Å; angles 90.00, 90.00, 90.00 degrees
Element x y z (fractional)
Nd 0.000 0.000 0.000
Be 0.000 0.000 0.500
Si 0.500 0.500 0.239
Si 0.500 0.500 0.761
Ru 0.000 0.500 0.500
Ru 0.500 0.000 0.500

N(E_F): 2.3 states/eV/cell
VASP energy: -41.45 eV per formula unit
total magnetic moment: 0.0 μB per formula unit

What did the third record say?
Material: NdBe2Ru
Method: DFT, PBE-GGA
State: optimized geometry

Cell lengths 5.499, 5.499, 5.499 Å; angles 41.68, 41.68, 41.68 degrees
Element x y z (fractional)
Nd 0.000 0.000 0.000
Be 0.192 0.192 0.192
Be 0.808 0.808 0.808
Ru 0.500 0.500 0.500

N(E_F): 3.4 states/eV/cell
total magnetic moment: 0.0 μB per formula unit
formation energy: -185 meV per atom

Question: What is the formula in the first record?
Answer: NdBe3Ru

Question: Among the records above, which one has the highest N(E_F)?
Answer: Nd2Be4Si3Ru

Question: Which formula does entry 6 have?
Answer: NdBeSi2Ru2